[1]
{"formula": "Sn2SeBr", "functional": "PBE", "state": "relaxed", "dos_ef_per_ev_atom": 0.619, "final_energy_ev_per_atom": -3.560, "lattice": [[-4.070, 4.070, 3.596], [4.070, -4.070, 3.596], [4.070, 4.070, -3.596]], "species": ["Sn", "Sn", "Sn", "Sn", "Se", "Se", "Br", "Br"], "frac_coords": [[0.099, 0.625, 0.974], [0.375, 0.349, 0.474], [0.651, 0.125, 0.026], [0.875, 0.901, 0.526], [0.000, 0.000, 0.000], [0.750, 0.250, 0.500], [0.250, 0.750, 0.500], [0.500, 0.500, 0.000]]}

[2]
{"formula": "SrSnSe2Br", "functional": "PBE", "state": "relaxed", "dos_ef_per_ev_atom": 1.130, "final_energy_ev_per_atom": -3.212, "lattice": [[5.744, 0.000, 0.000], [0.000, 5.744, 0.000], [0.000, 0.000, 5.674]], "species": ["Sr", "Sn", "Se", "Se", "Br"], "frac_coords": [[0.000, 0.000, 0.000], [0.500, 0.500, 0.500], [0.000, 0.500, 0.000], [0.500, 0.000, 0.000], [0.000, 0.000, 0.500]]}

[3]
{"formula": "SrSnSe2Br", "functional": "PBE", "state": "relaxed", "dos_ef_per_ev_atom": 0.350, "final_energy_ev_per_atom": -3.725, "lattice": [[5.402, 0.000, 0.000], [0.000, 5.402, 0.000], [0.000, 0.000, 5.478]], "species": ["Sr", "Sn", "Se", "Se", "Br"], "frac_coords": [[0.000, 0.000, 0.000], [0.500, 0.500, 0.500], [0.000, 0.500, 0.500], [0.500, 0.000, 0.500], [0.500, 0.500, 0.000]]}

What are the distance to the lowest polymorph of the same formula values for these records? In order: 79 513 0 meV/atom.
What are the raw formation energy values for these records? In order: -26.0 -33.4 -82.9 kJ/mol of atoms.